[1]
! Li2AlAg (GGA-PBEsol, relaxed); values from VASP
! - Uncorrected energy: -2.99 eV per atom
! - Total magnetization: 0.0 μB/cell
! - Space-group type: Pmm2, No. 25
&SYSTEM
  ibrav = 0, nat = 4, ntyp = 3
/
ATOMIC_SPECIES
Al 26.98 Al.upf
Ag 107.87 Ag.upf
Li 6.94 Li.upf
CELL_PARAMETERS angstrom
2.7679 0.0000 0.0000
0.0000 4.0358 0.0000
0.0000 0.0000 5.6729
ATOMIC_POSITIONS crystal
Al 0.5000 0.5000 0.7368
Ag 0.0000 0.0000 0.5095
Li 0.0000 0.0000 0.9977
Li 0.5000 0.5000 0.2559

[2]
! TlCrPb2 (GGA-PBEsol, relaxed); values from VASP
! - ΔE to the lowest computed polymorph: 0.000 eV/atom
! - Total magnetization: 4.1 μB/cell
! - Space-group type: P4mm, No. 99
&SYSTEM
  ibrav = 0, nat = 4, ntyp = 3
/
ATOMIC_SPECIES
Cr 52.00 Cr.upf
Pb 207.20 Pb.upf
Tl 204.38 Tl.upf
CELL_PARAMETERS angstrom
-2.4277 1.6144 1.7748
-0.6776 -2.8834 1.6960
5.7013 2.1154 5.8742
ATOMIC_POSITIONS crystal
Cr 0.5000 0.5000 0.7417
Pb 0.0000 0.0000 0.9581
Pb 0.5000 0.5000 0.2611
Tl 0.0000 0.0000 0.5391

[3]
! FeCo2 (GGA-PBEsol, relaxed); values from VASP
! - Uncorrected energy: -8.08 eV per atom
! - Total magnetization: 12.0 μB/cell
! - Space-group type: P4/nmm, No. 129
&SYSTEM
  ibrav = 0, nat = 6, ntyp = 2
/
ATOMIC_SPECIES
Co 58.93 Co.upf
Fe 55.84 Fe.upf
CELL_PARAMETERS angstrom
2.7659 0.0000 0.0000
0.0000 2.7659 0.0000
0.0000 0.0000 8.4357
ATOMIC_POSITIONS crystal
Co 0.5000 0.0000 0.7499
Co 0.0000 0.5000 0.9196
Co 0.5000 0.0000 0.0804
Co 0.0000 0.5000 0.2502
Fe 0.5000 0.0000 0.4134
Fe 0.0000 0.5000 0.5866

[4]
! YReIr4 (GGA-PBEsol, relaxed); values from VASP
! - Uncorrected energy: -9.86 eV per atom
! - Total magnetization: 0.0 μB/cell
! - Space-group type: F-43m, No. 216
&SYSTEM
  ibrav = 0, nat = 6, ntyp = 3
/
ATOMIC_SPECIES
Ir 192.22 Ir.upf
Re 186.21 Re.upf
Y 88.91 Y.upf
CELL_PARAMETERS angstrom
-2.2982 -3.7878 2.6532
-2.2249 -3.9276 -2.5086
2.1295 -4.7020 0.1576
ATOMIC_POSITIONS crystal
Ir 0.3753 0.3753 0.3753
Ir 0.3753 0.3753 0.8742
Ir 0.8742 0.3753 0.3753
Ir 0.3753 0.8742 0.3753
Re 0.7500 0.7500 0.7500
Y 0.0000 0.0000 0.0000

[5]
! Nb2C (GGA-PBEsol, relaxed); values from VASP
! - Uncorrected energy: -10.93 eV per atom
! - Total magnetization: 0.0 μB/cell
! - Space-group type: P-3m1, No. 164
&SYSTEM
  ibrav = 0, nat = 3, ntyp = 2
/
ATOMIC_SPECIES
Nb 92.91 Nb.upf
C 12.01 C.upf
CELL_PARAMETERS angstrom
3.1222 0.0000 0.0000
-1.5611 2.7039 0.0000
0.0000 0.0000 4.9591
ATOMIC_POSITIONS crystal
Nb 0.3333 0.6667 0.2509
Nb 0.6667 0.3333 0.7491
C 0.0000 0.0000 0.0000

[6]
! LaTaTl2 (GGA-PBEsol, relaxed); values from VASP
! - Uncorrected energy: -5.43 eV per atom
! - Total magnetization: 0.0 μB/cell
! - Space-group type: I-4m2, No. 119
&SYSTEM
  ibrav = 0, nat = 4, ntyp = 3
/
ATOMIC_SPECIES
La 138.91 La.upf
Ta 180.95 Ta.upf
Tl 204.38 Tl.upf
CELL_PARAMETERS angstrom
4.4278 0.0000 0.0000
0.0000 4.4278 0.0000
-2.2139 -2.2139 5.0379
ATOMIC_POSITIONS crystal
La 0.5000 0.5000 0.0000
Ta 0.2500 0.7500 0.5000
Tl 0.0000 0.0000 0.0000
Tl 0.7500 0.2500 0.5000

[7]
! Rb2CaW (GGA-PBEsol, relaxed); values from VASP
! - Uncorrected energy: -2.72 eV per atom
! - Total magnetization: 4.2 μB/cell
! - Space-group type: Fm-3m, No. 225
&SYSTEM
  ibrav = 0, nat = 4, ntyp = 3
/
ATOMIC_SPECIES
Ca 40.08 Ca.upf
Rb 85.47 Rb.upf
W 183.84 W.upf
CELL_PARAMETERS angstrom
-3.6486 -0.2255 -4.9626
-1.9480 -5.4388 -2.1483
-5.9200 -1.6083 0.5979
ATOMIC_POSITIONS crystal
Ca 0.0000 0.0000 0.0000
Rb 0.2500 0.2500 0.2500
Rb 0.7500 0.7500 0.7500
W 0.5000 0.5000 0.5000

[8]
! SrNiH2F (GGA-PBEsol, relaxed); values from VASP
! - Uncorrected energy: -3.30 eV per atom
! - Total magnetization: 1.1 μB/cell
! - Space-group type: P4/mmm, No. 123
&SYSTEM
  ibrav = 0, nat = 5, ntyp = 4
/
ATOMIC_SPECIES
Sr 87.62 Sr.upf
F 19.00 F.upf
H 1.01 H.upf
Ni 58.69 Ni.upf
CELL_PARAMETERS angstrom
4.4633 0.0000 0.0000
0.0000 4.4663 0.0000
0.0000 0.0000 4.4663
ATOMIC_POSITIONS crystal
Sr 0.0000 0.0000 0.0000
F 0.5000 0.0000 0.0000
H 0.0000 0.0000 0.5000
H 0.0000 0.5000 0.0000
Ni 0.5000 0.5000 0.5000

[9]
! TiRuS2 (GGA-PBEsol, relaxed); values from VASP
! - ΔE to the lowest computed polymorph: 0.003 eV/atom
! - E_form (uncorrected): -599 meV per atom
! - Total magnetization: 0.0 μB/cell
! - Space-group type: R-3m, No. 166
&SYSTEM
  ibrav = 0, nat = 4, ntyp = 3
/
ATOMIC_SPECIES
Ru 101.07 Ru.upf
S 32.06 S.upf
Ti 47.87 Ti.upf
CELL_PARAMETERS angstrom
-2.7412 1.2359 0.1205
-2.3541 -1.6453 0.8983
-0.4137 2.0027 7.6245
ATOMIC_POSITIONS crystal
Ru 0.0000 0.0000 0.0000
S 0.9036 0.9036 0.2891
S 0.0964 0.0964 0.7109
Ti 0.5000 0.5000 0.5000

[10]
! InGaPb2 (GGA-PBEsol, relaxed); values from VASP
! - Uncorrected energy: -3.51 eV per atom
! - Total magnetization: 0.0 μB/cell
! - Space-group type: Fm-3m, No. 225
&SYSTEM
  ibrav = 0, nat = 4, ntyp = 3
/
ATOMIC_SPECIES
Pb 207.20 Pb.upf
Ga 69.72 Ga.upf
In 114.82 In.upf
CELL_PARAMETERS angstrom
-3.0449 3.1034 -2.9747
-4.5428 1.8530 1.9185
-0.4771 5.1161 1.1613
ATOMIC_POSITIONS crystal
Pb 0.2500 0.2500 0.2500
Pb 0.7500 0.7500 0.7500
Ga 0.0000 0.0000 0.0000
In 0.5000 0.5000 0.5000

[11]
! CdCo2Tc (GGA-PBEsol, relaxed); values from VASP
! - Uncorrected energy: -6.51 eV per atom
! - Total magnetization: 0.5 μB/cell
! - Space-group type: I-4m2, No. 119
&SYSTEM
  ibrav = 0, nat = 4, ntyp = 3
/
ATOMIC_SPECIES
Co 58.93 Co.upf
Tc 98.00 Tc.upf
Cd 112.41 Cd.upf
CELL_PARAMETERS angstrom
-2.6951 1.2738 -2.0346
-2.3541 -2.0011 1.8655
2.0059 3.3674 2.6522
ATOMIC_POSITIONS crystal
Co 0.0000 0.0000 0.0000
Co 0.7500 0.2500 0.5000
Tc 0.5000 0.5000 0.0000
Cd 0.2500 0.7500 0.5000

[12]
! ZrCuSi (GGA-PBEsol, relaxed); values from VASP
! - E_form (uncorrected): -734 meV per atom
! - Total magnetization: 0.0 μB/cell
! - Space-group type: I4/mmm, No. 139
&SYSTEM
  ibrav = 0, nat = 6, ntyp = 3
/
ATOMIC_SPECIES
Si 28.09 Si.upf
Cu 63.55 Cu.upf
Zr 91.22 Zr.upf
CELL_PARAMETERS angstrom
3.7236 0.0000 0.0000
0.0000 3.7236 0.0000
-1.8618 -1.8618 6.6074
ATOMIC_POSITIONS crystal
Si 0.3790 0.3790 0.7580
Si 0.6210 0.6210 0.2420
Cu 0.5000 0.0000 0.0000
Cu 0.0000 0.5000 0.0000
Zr 0.8290 0.8290 0.6581
Zr 0.1710 0.1710 0.3419

> total magnetization of number 1 (Li2AlAg)?

0.0 μB/cell

> total magnetization of number 7 (Rb2CaW)?

4.2 μB/cell